Version P
An optimized crystal structure of Ho4SnRu. Source: Alexandria, functional PBE.

Results
**Volume**: 29.53 A^3/atom
**Space group**: P2_1/c
**Total magnetization**: 0.00 μB/cell

Lattice parameters (Å, degrees): 7.5553 6.9532 6.7467 90.00 90.91 90.00
With the nearest neighbours (Å) after each atom.
Atoms (fractional coordinates):
1 Ho 0.1394 0.1578 0.1695  2 Ru 2.71-2.84
2 Ho 0.1394 0.3422 0.6695  2 Ru 2.71-2.84
3 Ho 0.3024 0.6459 0.1301  1 Ru 2.64
4 Ho 0.3024 0.8541 0.6301  1 Ru 2.64
5 Ho 0.6976 0.1459 0.3699  1 Ru 2.64
6 Ho 0.6976 0.3541 0.8699  1 Ru 2.64
7 Ho 0.8606 0.6578 0.3305  2 Ru 2.71-2.84
8 Ho 0.8606 0.8422 0.8305  2 Ru 2.71-2.84
9 Sn 0.5000 0.0000 0.0000  6 Ho 3.02-3.17
10 Sn 0.5000 0.5000 0.5000  6 Ho 3.02-3.17
11 Ru 0.0000 0.0000 0.5000  6 Ho 2.64-2.84
12 Ru 0.0000 0.5000 0.0000  6 Ho 2.64-2.84



Version Q
An optimized crystal structure of Ho4SnRu. Source: Alexandria, functional PBE.

Results
**Volume**: 27.42 A^3/atom
**Space group**: C2/c
**Total magnetization**: 0.00 μB/cell

Lattice parameters (Å, degrees): 8.0064 8.0064 6.0968 102.98 102.98 112.87
With the nearest neighbours (Å) after each atom.
Atoms (fractional coordinates):
1 Ho 0.0574 0.7200 0.9346  2 Ru 2.86-2.87, 1 Sn 3.20
2 Ho 0.2104 0.3506 0.6585  2 Ru 2.87-2.91, 1 Sn 3.20
3 Ho 0.2800 0.9426 0.5654  2 Ru 2.86-2.87, 1 Sn 3.20
4 Ho 0.3506 0.2104 0.1585  2 Ru 2.87-2.91, 1 Sn 3.20
5 Ho 0.6494 0.7896 0.8415  2 Ru 2.87-2.91, 1 Sn 3.20
6 Ho 0.7200 0.0574 0.4346  2 Ru 2.86-2.87, 1 Sn 3.20
7 Ho 0.7896 0.6494 0.3415  2 Ru 2.87-2.91, 1 Sn 3.20
8 Ho 0.9426 0.2800 0.0654  2 Ru 2.86-2.87, 1 Sn 3.20
9 Sn 0.3712 0.6288 0.2500  8 Ho 3.20-3.42
10 Sn 0.6288 0.3712 0.7500  8 Ho 3.20-3.42
11 Ru 0.0002 0.9998 0.2500  8 Ho 2.86-2.91, 2 Ru 3.05
12 Ru 0.9998 0.0002 0.7500  8 Ho 2.86-2.91, 2 Ru 3.05



Taking the most stable structure as the zero point, the relative energies in eV/atom are version P 0.183; version Q 0.000.



Version P
An optimized crystal structure of TbHo3Ru2. Source: Alexandria, functional PBE.

Results
**Volume**: 23.78 A^3/atom
**Space group**: Pmc2_1
**Total magnetization**: 0.00 μB/cell

Lattice parameters (Å, degrees): 4.3379 8.8069 7.4692 90.00 90.00 90.00
With the nearest neighbours (Å) after each atom.
Atoms (fractional coordinates):
1 Tb 0.0000 0.0840 0.0000  3 Ru 3.01-3.02
2 Tb 0.0000 0.9160 0.5000  3 Ru 3.01-3.02
3 Ho 0.0000 0.3209 0.6284  4 Ru 2.80-2.97
4 Ho 0.0000 0.6791 0.1284  4 Ru 2.80-2.97
5 Ho 0.5000 0.1814 0.3336  4 Ru 2.79-2.97
6 Ho 0.5000 0.4161 0.9613  3 Ru 3.00-3.01
7 Ho 0.5000 0.5839 0.4613  3 Ru 3.00-3.01
8 Ho 0.5000 0.8186 0.8336  4 Ru 2.79-2.97
9 Ru 0.0000 0.3628 0.2342  6 Ho 2.79-3.01, 1 Tb 3.02
10 Ru 0.0000 0.6372 0.7342  6 Ho 2.79-3.01, 1 Tb 3.02
11 Ru 0.5000 0.1388 0.7276  5 Ho 2.80-3.00, 2 Tb 3.01
12 Ru 0.5000 0.8612 0.2276  5 Ho 2.80-3.00, 2 Tb 3.01



Version Q
An optimized crystal structure of TbHo3Ru2. Source: Alexandria, functional PBE.

Results
**Volume**: 26.29 A^3/atom
**Space group**: Ibam
**Total magnetization**: 0.00 μB/cell

Lattice parameters (Å, degrees): 8.2916 8.2916 8.2916 132.31 71.48 130.13
With the nearest neighbours (Å) after each atom.
Atoms (fractional coordinates):
1 Tb 0.0000 0.0000 0.0000  2 Ru 2.60
2 Tb 0.5000 0.5000 0.0000  2 Ru 2.60
3 Ho 0.0137 0.2500 0.7637  4 Ru 2.88-2.90
4 Ho 0.2500 0.7500 0.5000  4 Ru 2.92
5 Ho 0.4863 0.2500 0.2363  4 Ru 2.88-2.90
6 Ho 0.5137 0.7500 0.7637  4 Ru 2.88-2.90
7 Ho 0.7500 0.2500 0.5000  4 Ru 2.92
8 Ho 0.9863 0.7500 0.2363  4 Ru 2.88-2.90
9 Ru 0.1343 0.7219 0.8563  1 Tb 2.60, 4 Ho 2.88-2.90
10 Ru 0.3657 0.2219 0.5876  1 Tb 2.60, 4 Ho 2.88-2.90
11 Ru 0.6343 0.7781 0.4124  1 Tb 2.60, 4 Ho 2.88-2.90
12 Ru 0.8657 0.2781 0.1437  1 Tb 2.60, 4 Ho 2.88-2.90



Taking the most stable structure as the zero point, the relative energies in eV/atom are version P 0.000; version Q 0.109.